[1]
Cu2ReSb | SCAN | single point on PBEsol structure

Computed properties:
Uncorrected energy   -34.33 eV per atom
SG   Imm2 (44)
E_form (uncorrected)   360 meV/atom
Total magnetic moment   0.00 μB/f.u.

Lattice parameters (Å, degrees): 3.671 3.816 4.888 112.98 112.05 90.00
Atoms (fractional coordinates):
Cu  0.005  0.005  0.011
Cu  0.746  0.246  0.492
Re  0.498  0.498  0.995
Sb  0.251  0.751  0.502

[2]
Zr5Os | SCAN | single point on PBEsol structure

Computed properties:
Uncorrected energy   -37.78 eV per atom
SG   C2/m (12)
Energy above the lowest structure with this stoichiometry   0.0 kJ/mol of formula units
Total magnetic moment   0.00 μB/f.u.
Formation energy   -21.48 kJ/mol of atoms

Lattice parameters (Å, degrees): 3.268 5.701 7.251 108.87 90.00 106.66
Atoms (fractional coordinates):
Os  0.500  0.000  0.500
Zr  0.150  0.300  0.353
Zr  0.835  0.670  0.190
Zr  0.500  0.000  0.000
Zr  0.165  0.330  0.810
Zr  0.850  0.700  0.647

[3]
Mg2AlCl | SCAN | single point on PBEsol structure

Computed properties:
Uncorrected energy   -6.69 eV per atom
SG   Imm2 (44)
Energy above the lowest structure with this stoichiometry   87.2 kJ/mol of formula units
E_form (uncorrected)   -266 meV/atom
Total magnetic moment   0.00 μB/f.u.

Lattice parameters (Å, degrees): 3.136 5.229 5.961 116.01 105.25 90.00
Atoms (fractional coordinates):
Al  0.501  0.501  0.003
Cl  0.719  0.219  0.439
Mg  0.021  0.021  0.043
Mg  0.258  0.758  0.516